Record 1
Compound: YTeP3
Source: the Alexandria database
Functional: PBE
Structure: optimized geometry

Cell and atoms, written as CIF:
```
data_YTeP3
_chemical_formula_sum 'Y1 Te1 P3'
_cell_length_a 4.984
_cell_length_b 4.984
_cell_length_c 4.984
_cell_angle_alpha 90.00
_cell_angle_beta 90.00
_cell_angle_gamma 90.00
_space_group_name_H-M_alt 'P m -3 m'
_space_group_IT_number 221
_space_group_name_Hall '-P 4 2 3'
loop_
_atom_site_label
_atom_site_type_symbol
_atom_site_fract_x
_atom_site_fract_y
_atom_site_fract_z
_atom_site_occupancy
Y1 Y 0.000 0.000 0.000 1
Te1 Te 0.500 0.500 0.500 1
P1 P 0.000 0.500 0.500 1
```

Computed properties:
uncorrected formation energy	2.4	eV/f.u.


Record 2
Compound: Y2TeP
Source: the Alexandria database
Functional: PBE
Structure: optimized geometry

Cell and atoms, written as CIF:
```
data_Y2TeP
_chemical_formula_sum 'Y6 Te3 P3'
_cell_length_a 4.0832
_cell_length_b 4.0832
_cell_length_c 21.7307
_cell_angle_alpha 90.00
_cell_angle_beta 90.00
_cell_angle_gamma 120.00
_space_group_name_H-M_alt 'R 3 m'
_space_group_IT_number 160
_space_group_name_Hall 'R 3 -2"'
loop_
_atom_site_label
_atom_site_type_symbol
_atom_site_fract_x
_atom_site_fract_y
_atom_site_fract_z
_atom_site_occupancy
Y1 Y 0.0000 0.0000 0.0000 1
Y2 Y 0.0000 0.0000 0.1942 1
Te1 Te 0.0000 0.0000 0.7643 1
P1 P 0.0000 0.0000 0.5952 1
```

Computed properties:
uncorrected formation energy	-6.2	eV/f.u.


Record 3
Compound: YTe2P
Source: the Alexandria database
Functional: PBE
Structure: optimized geometry

Cell and atoms, written as CIF:
```
data_YTe2P
_chemical_formula_sum 'Y3 Te6 P3'
_cell_length_a 4.4978
_cell_length_b 4.4978
_cell_length_c 19.4340
_cell_angle_alpha 90.00
_cell_angle_beta 90.00
_cell_angle_gamma 120.00
_space_group_name_H-M_alt 'R -3 m'
_space_group_IT_number 166
_space_group_name_Hall '-R 3 2"'
loop_
_atom_site_label
_atom_site_type_symbol
_atom_site_fract_x
_atom_site_fract_y
_atom_site_fract_z
_atom_site_occupancy
Y1 Y 0.0000 0.0000 0.0000 1
Te1 Te 0.0000 0.0000 0.2427 1
P1 P 0.0000 0.0000 0.5000 1
```

Computed properties:
uncorrected formation energy	-0.9	eV/f.u.